Ca2BRh (PBE-GGA, optimized geometry); ρ = 3.5 Mg/m³; ΔH_f (0 K) = -334.1 meV per atom; symmetry = R3m; total energy = -4.842 eV per atom
1.0
-2.599 -2.077 -1.643
0.247 0.078 3.702
-14.565 17.755 0.598
Ca Rh B
6 3 3
direct
0.333 0.667 0.352
0.333 0.667 0.172
0.000 0.000 0.685
0.667 0.333 0.018
0.667 0.333 0.838
0.000 0.000 0.505
0.000 0.000 0.262
0.667 0.333 0.595
0.333 0.667 0.929
0.000 0.000 0.928
0.333 0.667 0.595
0.667 0.333 0.262